# 1
18
Lattice="6.594 -4.518 0.000 6.594 4.518 0.000 -0.107 0.000 6.052" Properties=species:S:1:pos:R:3 comment="Mg4Sb3H2 GGA-PBE relaxed" sg="C2/c (15)" total_energy_ev_per_atom=-2.95 magmom_total_mub_per_fu=0.0 pbc="T T T"
Mg 4.860 2.861 5.968
Mg 3.868 0.557 2.096
Mg 8.167 2.861 3.110
Mg 3.814 -0.557 5.123
Mg 9.267 0.557 0.930
Mg 4.914 -2.861 2.942
Mg 9.213 -0.557 3.956
Mg 8.221 -2.861 0.084
Sb 5.182 3.038 2.884
Sb 7.953 3.038 0.142
Sb 6.514 0.525 4.539
Sb 6.567 -0.525 1.513
Sb 5.128 -3.038 5.910
Sb 7.899 -3.038 3.168
H 3.661 1.116 0.170
H 3.607 -1.116 3.196
H 9.474 1.116 2.856
H 9.420 -1.116 5.882

# 2
21
Lattice="10.283 0.000 0.000 -5.142 8.906 0.000 0.000 0.000 4.088" Properties=species:S:1:pos:R:3 comment="K2As7Pd12 GGA-PBE relaxed" sg="P-3 (147)" delta_e_f_ev_per_atom=-0.4201 total_energy_ev_per_atom=-5.04 magmom_total_mub_per_fu=0.0 pbc="T T T"
K 0.000 5.937 1.030
K 5.142 2.969 3.058
As 0.000 0.000 0.000
As -0.919 3.614 3.071
As -1.552 7.894 3.071
As 2.671 2.603 1.017
As 2.471 6.303 3.071
As 6.694 1.012 1.017
As 6.060 5.291 1.017
Pd -2.651 5.512 3.072
Pd -3.282 7.624 1.075
Pd 0.180 2.251 1.075
Pd 2.040 0.969 3.013
Pd 1.694 3.854 3.072
Pd 4.185 0.460 1.017
Pd 0.957 8.446 3.072
Pd 3.448 5.052 1.017
Pd 3.102 7.936 1.075
Pd 4.961 6.655 3.013
Pd 8.424 1.282 3.013
Pd 7.793 3.394 1.017